1.
This record from Alexandria via LeMat-Bulk describes a relaxed structure of PmPrHgPt. The functional is PBE.

Computed properties:
Final energy ... -4.68 eV/atom
Total magnetic moment ... 0.00 μB/f.u.

Cell lengths 5.2582, 5.2582, 5.2582 Å; angles 60.00, 60.00, 60.00 degrees
Fractional coordinates of all 4 atoms:
Pm 0.0000 0.0000 0.0000
Pr 0.5000 0.5000 0.5000
Hg 0.2500 0.2500 0.2500
Pt 0.7500 0.7500 0.7500

***

2.
This record from Alexandria via LeMat-Bulk describes a relaxed structure of RuC. The functional is PBE.

Computed properties:
Final energy ... -8.63 eV/atom
Excess energy over the best structure of this formula in the dataset ... 0.258 eV/atom
Total magnetic moment ... 0.00 μB/f.u.

Cell lengths 3.2606, 3.2606, 5.2436 Å; angles 90.00, 90.00, 120.00 degrees
Fractional coordinates of all 4 atoms:
Ru 0.3333 0.6667 0.0000
Ru 0.6667 0.3333 0.5000
C 0.3333 0.6667 0.6241
C 0.6667 0.3333 0.1241

***

3.
This record from Alexandria via LeMat-Bulk describes a relaxed structure of TbSm2HoBi4. The functional is PBE.

Computed properties:
Final energy ... -5.16 eV/atom
Total magnetic moment ... 0.00 μB/f.u.

Cell lengths 7.8224, 4.5207, 7.8253 Å; angles 90.00, 109.47, 90.00 degrees
Fractional coordinates of all 8 atoms:
Tb 0.0000 0.0000 0.0000
Sm 0.5000 0.0000 0.5000
Sm 0.5000 0.5000 0.0000
Ho 0.0000 0.5000 0.5000
Bi 0.2441 0.0000 0.7471
Bi 0.2448 0.5000 0.2493
Bi 0.7552 0.5000 0.7507
Bi 0.7559 0.0000 0.2529

***

4.
This record from Alexandria via LeMat-Bulk describes a relaxed structure of BaTlIF2. The functional is PBE.

Computed properties:
Final energy ... -4.39 eV/atom
E_form (uncorrected) ... -2476 meV per atom
Total magnetic moment ... 0.00 μB/f.u.

Cell lengths 7.9098, 7.9098, 7.9098 Å; angles 146.77, 146.77, 47.71 degrees
Fractional coordinates of all 5 atoms:
Ba 0.0000 0.0000 0.0000
Tl 0.6941 0.6941 0.0000
I 0.3588 0.3588 0.0000
F 0.0873 0.5873 0.5000
F 0.5873 0.0873 0.5000

***

5.
This record from Alexandria via LeMat-Bulk describes a relaxed structure of NaPmCu2As2. The functional is PBE.

Computed properties:
Final energy ... -4.60 eV/atom
Total magnetic moment ... 0.00 μB/f.u.

Cell lengths 4.1860, 4.1860, 8.0817 Å; angles 90.00, 90.00, 120.00 degrees
Fractional coordinates of all 6 atoms:
Na 0.0000 0.0000 0.0000
Pm 0.0000 0.0000 0.5000
Cu 0.3333 0.6667 0.7454
Cu 0.6667 0.3333 0.2546
As 0.3333 0.6667 0.2651
As 0.6667 0.3333 0.7349

***

6.
This record from Alexandria via LeMat-Bulk describes a relaxed structure of PrZn2CdPd5. The functional is PBE.

Computed properties:
Final energy ... -4.22 eV/atom
Total magnetic moment ... 0.00 μB/f.u.

Cell lengths 4.2077, 4.2077, 9.3450 Å; angles 90.00, 90.00, 90.00 degrees
Fractional coordinates of all 9 atoms:
Pr 0.0000 0.0000 0.0000
Zn 0.5000 0.5000 0.3712
Zn 0.5000 0.5000 0.6288
Cd 0.0000 0.0000 0.5000
Pd 0.0000 0.5000 0.2284
Pd 0.0000 0.5000 0.7716
Pd 0.5000 0.0000 0.2284
Pd 0.5000 0.0000 0.7716
Pd 0.5000 0.5000 0.0000

***

7.
This record from Alexandria via LeMat-Bulk describes a relaxed structure of Na2ErHg6. The functional is PBE.

Computed properties:
Final energy ... -1.25 eV/atom
Total magnetic moment ... 0.04 μB/f.u.

Cell lengths 8.7599, 8.7599, 3.3255 Å; angles 90.00, 90.00, 120.00 degrees
Fractional coordinates of all 9 atoms:
Na 0.3333 0.6667 0.0000
Na 0.6667 0.3333 0.0000
Er 0.0000 0.0000 0.0000
Hg 0.0000 0.3343 0.5000
Hg 0.0000 0.6657 0.5000
Hg 0.3343 0.0000 0.5000
Hg 0.3343 0.3343 0.5000
Hg 0.6657 0.0000 0.5000
Hg 0.6657 0.6657 0.5000

***

8.
This record from Alexandria via LeMat-Bulk describes a relaxed structure of TeOs2Se. The functional is PBE.

Computed properties:
Final energy ... -6.07 eV/atom
E_form (uncorrected) ... 1197 meV per atom
Excess energy over the best structure of this formula in the dataset ... 0.826 eV/atom
Total magnetic moment ... 0.00 μB/f.u.

Cell lengths 3.0213, 3.0213, 9.0031 Å; angles 90.00, 90.00, 120.49 degrees
Fractional coordinates of all 4 atoms:
Te 0.0000 0.0000 0.0000
Os 0.5000 0.5000 0.2698
Os 0.5000 0.5000 0.7302
Se 0.0000 0.0000 0.5000